Pr2DySb2: optimized geometry, PBE.

Structure (CIF):
```
data_Pr2DySb2
_symmetry_space_group_name_H-M 'P 1'
_symmetry_Int_Tables_number 1
_symmetry_space_group_name_Hall 'P 1'
_cell_length_a 8.076
_cell_length_b 8.076
_cell_length_c 8.076
_cell_angle_alpha 115.50
_cell_angle_beta 83.39
_cell_angle_gamma 133.20
loop_
_atom_site_label
_atom_site_fract_x
_atom_site_fract_y
_atom_site_fract_z
Pr1 0.151 0.142 0.293
Pr2 0.349 0.642 0.991
Pr3 0.651 0.358 0.009
Pr4 0.849 0.858 0.707
Dy1 0.250 0.750 0.500
Dy2 0.750 0.250 0.500
Sb1 0.107 0.775 0.882
Sb2 0.393 0.275 0.668
Sb3 0.607 0.725 0.332
Sb4 0.893 0.225 0.118
```

Summary:
Formation energy (no corrections) (eV per atom): -0.86
Space group: Ibam
V (Å³ per cell): 333.4
Uncorrected energy (eV/atom): -5.340



Pr8DySb6: optimized geometry, PBE.

Structure (CIF):
```
data_Pr8DySb6
_symmetry_space_group_name_H-M 'P 1'
_symmetry_Int_Tables_number 1
_symmetry_space_group_name_Hall 'P 1'
_cell_length_a 9.900
_cell_length_b 9.900
_cell_length_c 9.900
_cell_angle_alpha 49.27
_cell_angle_beta 49.27
_cell_angle_gamma 49.27
loop_
_atom_site_label
_atom_site_fract_x
_atom_site_fract_y
_atom_site_fract_z
Pr1 0.039 0.717 0.380
Pr2 0.167 0.167 0.167
Pr3 0.283 0.620 0.961
Pr4 0.380 0.039 0.717
Pr5 0.620 0.961 0.283
Pr6 0.717 0.380 0.039
Pr7 0.833 0.833 0.833
Pr8 0.961 0.283 0.620
Dy1 0.500 0.500 0.500
Sb1 0.109 0.433 0.760
Sb2 0.240 0.891 0.567
Sb3 0.433 0.760 0.109
Sb4 0.567 0.240 0.891
Sb5 0.760 0.109 0.433
Sb6 0.891 0.567 0.240
```

Summary:
Formation energy (no corrections) (eV per atom): -0.82
Space group: R-3
V (Å³ per cell): 511.8
Uncorrected energy (eV/atom): -5.322



PrDySb: optimized geometry, PBE.

Structure (CIF):
```
data_PrDySb
_symmetry_space_group_name_H-M 'P 1'
_symmetry_Int_Tables_number 1
_symmetry_space_group_name_Hall 'P 1'
_cell_length_a 4.564
_cell_length_b 4.564
_cell_length_c 8.754
_cell_angle_alpha 90.00
_cell_angle_beta 90.00
_cell_angle_gamma 90.00
loop_
_atom_site_label
_atom_site_fract_x
_atom_site_fract_y
_atom_site_fract_z
Pr1 0.250 0.250 0.147
Pr2 0.750 0.750 0.853
Dy1 0.250 0.750 0.500
Dy2 0.750 0.250 0.500
Sb1 0.250 0.250 0.770
Sb2 0.750 0.750 0.230
```

Summary:
Formation energy (no corrections) (eV per atom): -0.84
Space group: P4/nmm
V (Å³ per cell): 182.3
Uncorrected energy (eV/atom): -5.342



Pr2Dy5Sb4: optimized geometry, PBE.

Structure (CIF):
```
data_Pr2Dy5Sb4
_symmetry_space_group_name_H-M 'P 1'
_symmetry_Int_Tables_number 1
_symmetry_space_group_name_Hall 'P 1'
_cell_length_a 13.312
_cell_length_b 13.312
_cell_length_c 6.875
_cell_angle_alpha 90.68
_cell_angle_beta 90.68
_cell_angle_gamma 17.74
loop_
_atom_site_label
_atom_site_fract_x
_atom_site_fract_y
_atom_site_fract_z
Pr1 0.089 0.089 0.210
Pr2 0.911 0.911 0.790
Dy1 0.149 0.149 0.703
Dy2 0.236 0.236 0.274
Dy3 0.500 0.500 0.500
Dy4 0.764 0.764 0.726
Dy5 0.851 0.851 0.297
Sb1 0.037 0.037 0.787
Sb2 0.327 0.327 0.975
Sb3 0.673 0.673 0.025
Sb4 0.963 0.963 0.213
```

Summary:
Formation energy (no corrections) (eV per atom): -0.49
Space group: C2/m
V (Å³ per cell): 371.2
Uncorrected energy (eV/atom): -4.949



PrDySb: optimized geometry, PBE.

Structure (CIF):
```
data_PrDySb
_symmetry_space_group_name_H-M 'P 1'
_symmetry_Int_Tables_number 1
_symmetry_space_group_name_Hall 'P 1'
_cell_length_a 8.410
_cell_length_b 8.410
_cell_length_c 8.410
_cell_angle_alpha 38.48
_cell_angle_beta 38.48
_cell_angle_gamma 38.48
loop_
_atom_site_label
_atom_site_fract_x
_atom_site_fract_y
_atom_site_fract_z
Pr1 0.087 0.087 0.087
Pr2 0.913 0.913 0.913
Dy1 0.354 0.354 0.354
Dy2 0.646 0.646 0.646
Sb1 0.226 0.226 0.226
Sb2 0.774 0.774 0.774
```

Summary:
Formation energy (no corrections) (eV per atom): -0.45
Space group: R-3m
V (Å³ per cell): 207.0
Uncorrected energy (eV/atom): -4.956



Pr3DySb4: optimized geometry, PBE.

Structure (CIF):
```
data_Pr3DySb4
_symmetry_space_group_name_H-M 'P 1'
_symmetry_Int_Tables_number 1
_symmetry_space_group_name_Hall 'P 1'
_cell_length_a 9.027
_cell_length_b 12.771
_cell_length_c 4.519
_cell_angle_alpha 90.00
_cell_angle_beta 90.00
_cell_angle_gamma 90.00
loop_
_atom_site_label
_atom_site_fract_x
_atom_site_fract_y
_atom_site_fract_z
Pr1 0.000 0.000 0.000
Pr2 0.250 0.250 0.500
Pr3 0.250 0.750 0.500
Pr4 0.500 0.500 0.000
Pr5 0.750 0.250 0.500
Pr6 0.750 0.750 0.500
Dy1 0.000 0.500 0.000
Dy2 0.500 0.000 0.000
Sb1 0.000 0.254 0.000
Sb2 0.000 0.746 0.000
Sb3 0.243 0.500 0.500
Sb4 0.257 0.000 0.500
Sb5 0.500 0.246 0.000
Sb6 0.500 0.754 0.000
Sb7 0.743 0.000 0.500
Sb8 0.757 0.500 0.500
```

Summary:
Formation energy (no corrections) (eV per atom): -1.17
Space group: Cmmm
V (Å³ per cell): 521.0
Uncorrected energy (eV/atom): -5.599



Pr3DySb3: optimized geometry, PBE.

Structure (CIF):
```
data_Pr3DySb3
_symmetry_space_group_name_H-M 'P 1'
_symmetry_Int_Tables_number 1
_symmetry_space_group_name_Hall 'P 1'
_cell_length_a 9.497
_cell_length_b 9.497
_cell_length_c 9.497
_cell_angle_alpha 90.00
_cell_angle_beta 90.00
_cell_angle_gamma 90.00
loop_
_atom_site_label
_atom_site_fract_x
_atom_site_fract_y
_atom_site_fract_z
Pr1 0.067 0.433 0.567
Pr2 0.177 0.823 0.323
Pr3 0.180 0.180 0.180
Pr4 0.320 0.820 0.680
Pr5 0.323 0.177 0.823
Pr6 0.433 0.567 0.067
Pr7 0.567 0.067 0.433
Pr8 0.677 0.677 0.677
Pr9 0.680 0.320 0.820
Pr10 0.820 0.680 0.320
Pr11 0.823 0.323 0.177
Pr12 0.933 0.933 0.933
Dy1 0.072 0.572 0.928
Dy2 0.428 0.428 0.428
Dy3 0.572 0.928 0.072
Dy4 0.928 0.072 0.572
Sb1 0.002 0.257 0.871
Sb2 0.129 0.502 0.243
Sb3 0.243 0.129 0.502
Sb4 0.257 0.871 0.002
Sb5 0.371 0.498 0.743
Sb6 0.498 0.743 0.371
Sb7 0.502 0.243 0.129
Sb8 0.629 0.998 0.757
Sb9 0.743 0.371 0.498
Sb10 0.757 0.629 0.998
Sb11 0.871 0.002 0.257
Sb12 0.998 0.757 0.629
```

Summary:
Formation energy (no corrections) (eV per atom): -1.04
Relative energy among the computed polymorphs (meV per atom): 0
Space group: P2_13
V (Å³ per cell): 856.5
Uncorrected energy (eV/atom): -5.512



PrDy3Sb3: optimized geometry, PBE.

Structure (CIF):
```
data_PrDy3Sb3
_symmetry_space_group_name_H-M 'P 1'
_symmetry_Int_Tables_number 1
_symmetry_space_group_name_Hall 'P 1'
_cell_length_a 9.298
_cell_length_b 9.298
_cell_length_c 9.298
_cell_angle_alpha 90.00
_cell_angle_beta 90.00
_cell_angle_gamma 90.00
loop_
_atom_site_label
_atom_site_fract_x
_atom_site_fract_y
_atom_site_fract_z
Pr1 0.069 0.431 0.569
Pr2 0.431 0.569 0.069
Pr3 0.569 0.069 0.431
Pr4 0.931 0.931 0.931
Dy1 0.076 0.576 0.924
Dy2 0.179 0.821 0.321
Dy3 0.181 0.181 0.181
Dy4 0.319 0.819 0.681
Dy5 0.321 0.179 0.821
Dy6 0.424 0.424 0.424
Dy7 0.576 0.924 0.076
Dy8 0.679 0.679 0.679
Dy9 0.681 0.319 0.819
Dy10 0.819 0.681 0.319
Dy11 0.821 0.321 0.179
Dy12 0.924 0.076 0.576
Sb1 0.002 0.258 0.879
Sb2 0.121 0.502 0.242
Sb3 0.242 0.121 0.502
Sb4 0.258 0.879 0.002
Sb5 0.379 0.498 0.742
Sb6 0.498 0.742 0.379
Sb7 0.502 0.242 0.121
Sb8 0.621 0.998 0.758
Sb9 0.742 0.379 0.498
Sb10 0.758 0.621 0.998
Sb11 0.879 0.002 0.258
Sb12 0.998 0.758 0.621
```

Summary:
Formation energy (no corrections) (eV per atom): -1.00
Relative energy among the computed polymorphs (meV per atom): 0
Space group: P2_13
V (Å³ per cell): 803.7
Uncorrected energy (eV/atom): -5.424